(1)
VASP calculation (meta-GGA SCAN) on Re2TeBr at its PBEsol-relaxed geometry.

- density of states at the Fermi level (states/eV per cell) = 2.696
- V (Å³ per cell) = 66.51

a = 4.5478 Å, b = 4.5478 Å, c = 4.5478 Å
α = 60.00°, β = 60.00°, γ = 60.00°
With the nearest neighbours (Å) after each atom.
Atoms (fractional coordinates):
Re  0.7500  0.7500  0.7500  4 Br 2.78, 4 Te 2.78
Re  0.2500  0.2500  0.2500  4 Br 2.78, 4 Te 2.78
Br  0.0000  0.0000  0.0000  8 Re 2.78
Te  0.5000  0.5000  0.5000  8 Re 2.78


(2)
VASP calculation (meta-GGA SCAN) on ReTe4Br at its PBEsol-relaxed geometry.

- density of states at the Fermi level (states/eV per cell) = 4.403
- V (Å³ per cell) = 165.06

a = 6.1573 Å, b = 6.1573 Å, c = 6.1573 Å
α = 60.00°, β = 60.00°, γ = 60.00°
With the nearest neighbours (Å) after each atom.
Atoms (fractional coordinates):
Te  0.8775  0.3742  0.3742  6 Te 3.06-3.10
Te  0.3742  0.8775  0.3742  6 Te 3.06-3.10
Te  0.3742  0.3742  0.3742  6 Te 3.06-3.10
Te  0.3742  0.3742  0.8775  6 Te 3.06-3.10
Re  0.0000  0.0000  0.0000  12 Te 3.61, 4 Br 3.77
Br  0.7500  0.7500  0.7500  12 Te 3.61, 4 Re 3.77


(3)
VASP calculation (meta-GGA SCAN) on ZnRe2TeBr at its PBEsol-relaxed geometry.

- density of states at the Fermi level (states/eV per cell) = 4.336
- V (Å³ per cell) = 100.83

a = 4.6035 Å, b = 4.6035 Å, c = 4.7577 Å
α = 90.00°, β = 90.00°, γ = 90.00°
With the nearest neighbours (Å) after each atom.
Atoms (fractional coordinates):
Re  0.0000  0.5000  0.0000  2 Br 2.30
Re  0.5000  0.0000  0.0000  2 Br 2.30
Zn  0.0000  0.0000  0.5000  2 Br 2.38
Br  0.0000  0.0000  0.0000  4 Re 2.30, 2 Zn 2.38
Te  0.5000  0.5000  0.5000  4 Zn 3.26, 8 Re 3.31


(4)
VASP calculation (meta-GGA SCAN) on TiRe3Br at its PBEsol-relaxed geometry.

- density of states at the Fermi level (states/eV per cell) = 7.377
- V (Å³ per cell) = 95.94

a = 4.5779 Å, b = 4.5779 Å, c = 4.5779 Å
α = 90.00°, β = 90.00°, γ = 90.00°
With the nearest neighbours (Å) after each atom.
Atoms (fractional coordinates):
Re  0.0000  0.5000  0.0000  2 Ti 2.29
Re  0.0000  0.0000  0.5000  2 Ti 2.29
Re  0.5000  0.0000  0.0000  2 Ti 2.29
Ti  0.0000  0.0000  0.0000  6 Re 2.29
Br  0.5000  0.5000  0.5000  12 Re 3.24


(5)
VASP calculation (meta-GGA SCAN) on ReW2Br at its PBEsol-relaxed geometry.

- density of states at the Fermi level (states/eV per cell) = 3.534
- V (Å³ per cell) = 63.75

a = 4.4841 Å, b = 4.4841 Å, c = 4.4841 Å
α = 60.00°, β = 60.00°, γ = 60.00°
With the nearest neighbours (Å) after each atom.
Atoms (fractional coordinates):
W  0.7500  0.7500  0.7500  4 W 2.75, 4 Br 2.75
W  0.0000  0.0000  0.0000  4 Re 2.75, 4 W 2.75
Re  0.2500  0.2500  0.2500  4 Br 2.75, 4 W 2.75
Br  0.5000  0.5000  0.5000  4 W 2.75, 4 Re 2.75


(6)
VASP calculation (meta-GGA SCAN) on ReWBr2 at its PBEsol-relaxed geometry.

- density of states at the Fermi level (states/eV per cell) = 3.309
- V (Å³ per cell) = 69.66

a = 2.8776 Å, b = 4.5743 Å, c = 5.2923 Å
α = 90.00°, β = 90.00°, γ = 90.00°
With the nearest neighbours (Å) after each atom.
Atoms (fractional coordinates):
Re  0.5000  0.5000  0.0000  4 Br 2.70, 2 Re 2.88, 4 W 3.01
W  0.0000  0.5000  0.5000  4 Br 2.70, 2 W 2.88, 4 Re 3.01
Br  0.5000  0.0000  0.5000  4 W 2.70, 6 Br 2.88-3.01
Br  0.0000  0.0000  0.0000  4 Re 2.70, 6 Br 2.88-3.01


(7)
VASP calculation (meta-GGA SCAN) on ReW2Br at its PBEsol-relaxed geometry.

- density of states at the Fermi level (states/eV per cell) = 1.444
- V (Å³ per cell) = 63.85

a = 3.0283 Å, b = 3.0283 Å, c = 6.9626 Å
α = 90.00°, β = 90.00°, γ = 90.00°
With the nearest neighbours (Å) after each atom.
Atoms (fractional coordinates):
W  0.5000  0.5000  0.2448  4 Br 2.74, 8 W 2.78-3.03
W  0.0000  0.0000  0.9913  4 Re 2.63, 4 W 2.78
Re  0.5000  0.5000  0.7729  4 W 2.63, 4 Br 2.90
Br  0.0000  0.0000  0.4911  4 W 2.74, 4 Re 2.90, 4 Br 3.03


(8)
VASP calculation (meta-GGA SCAN) on ReW2Br at its PBEsol-relaxed geometry.

- density of states at the Fermi level (states/eV per cell) = 2.364
- V (Å³ per cell) = 62.75

a = 2.9953 Å, b = 4.5606 Å, c = 4.5937 Å
α = 90.00°, β = 90.00°, γ = 90.00°
With the nearest neighbours (Å) after each atom.
Atoms (fractional coordinates):
Br  0.5000  0.0000  0.5000  4 Re 2.73, 4 W 2.74, 2 Br 3.00
Re  0.0000  0.5000  0.5000  4 Br 2.73, 4 W 2.74, 2 Re 3.00
W  0.0000  0.0000  0.0000  6 W 2.73-3.00, 4 Br 2.74
W  0.5000  0.5000  0.0000  6 W 2.73-3.00, 4 Re 2.74


E_tot, respectively: -3.5502; -2.8491; -2.9590; -3.4670; -4.1214; -3.1850; -4.1645; -4.1339 Ry per atom.